Entry 1:
Below is a relaxed structure of RbZrBi2, with properties calculated at the PBE-GGA level.

The energy relative to the elements is -0.26 eV per atom. The value obtained for the offset from the most stable computed form is 1.2 kJ per mole of atoms.

It has space group R3m (No. 160, hexagonal axes), with a = 4.0847 Å, b = 4.0847 Å, c = 28.8292 Å, α = 90.00°, β = 90.00° and γ = 120.00°. Symmetry generates all atoms from Rb at (0.0000, 0.0000, 0.0000), Zr at (0.0000, 0.0000, 0.1683), Bi at (0.0000, 0.0000, 0.5678) and Bi at (0.0000, 0.0000, 0.7678).

=====

Entry 2:
Below is a relaxed structure of Te6Ir7, with properties calculated at the PBE-GGA level.

The uncorrected formation energy comes out at 262 meV per atom.

It has space group R-3m (No. 166, hexagonal axes), with a = 5.5347 Å, b = 5.5347 Å, c = 33.9990 Å, α = 90.00°, β = 90.00° and γ = 120.00°. Symmetry generates all atoms from Te at (0.0000, 0.0000, 0.0747), Te at (0.0000, 0.0000, 0.1811), Te at (0.0000, 0.0000, 0.2996), Ir at (0.0000, 0.0000, 0.5000) and Ir at (0.0161, 0.5080, 0.0937).

=====

Entry 3:
Below is a relaxed structure of ErCu6Pd, with properties calculated at the PBE-GGA level.

The energy relative to the elements is -0.02 eV per atom.

It has space group Pm-3 (No. 200), with a = 4.876 Å, b = 4.876 Å, c = 4.876 Å, α = 90.00°, β = 90.00° and γ = 90.00°. Symmetry generates all atoms from Er at (0.000, 0.000, 0.000), Cu at (0.000, 0.500, 0.257) and Pd at (0.500, 0.500, 0.500).

=====

Entry 4:
Below is a relaxed structure of UZnRh3, with properties calculated at the PBE-GGA level.

The energy relative to the elements is -0.28 eV per atom.

It has space group Cmcm (No. 63), with a = 6.589 Å, b = 11.400 Å, c = 4.510 Å, α = 90.00°, β = 90.00° and γ = 90.00°. Symmetry generates all atoms from U at (0.000, 0.167, 0.250), Zn at (0.000, 0.500, 0.000), Rh at (0.000, 0.303, 0.750) and Rh at (0.205, 0.098, 0.750).

=====

Entry 5:
Below is a relaxed structure of ZnFe2OsC, with properties calculated at the PBE-GGA level.

The energy relative to the elements is 0.14 eV per atom.

It has space group P4/mmm (No. 123), with a = 3.843 Å, b = 3.843 Å, c = 4.002 Å, α = 90.00°, β = 90.00° and γ = 90.00°. Symmetry generates all atoms from Zn at (0.000, 0.000, 0.000), Fe at (0.000, 0.500, 0.500), Os at (0.500, 0.500, 0.000) and C at (0.500, 0.500, 0.500).

=====

Entry 6:
Below is a relaxed structure of BaHgRh4, with properties calculated at the PBE-GGA level.

The energy relative to the elements is 0.15 eV per atom.

It has space group F-43m (No. 216), with a = 7.737 Å, b = 7.737 Å, c = 7.737 Å, α = 90.00°, β = 90.00° and γ = 90.00°. Symmetry generates all atoms from Ba at (0.000, 0.000, 0.000), Hg at (0.250, 0.250, 0.750) and Rh at (0.124, 0.124, 0.376).

=====

Entry 7:
Below is a relaxed structure of HoThAg, with properties calculated at the PBE-GGA level.

The energy relative to the elements is 0.11 eV per atom. The value obtained for the offset from the most stable computed form is 21.2 kJ per mole of atoms.

It has space group P3m1 (No. 156), with a = 5.1130 Å, b = 5.1130 Å, c = 3.7007 Å, α = 90.00°, β = 90.00° and γ = 120.00°. Symmetry generates all atoms from Ho at (0.0000, 0.0000, 0.0000), Th at (0.3333, 0.6667, 0.5144) and Ag at (0.6667, 0.3333, 0.0647).

=====

Entry 8:
Below is a relaxed structure of Ac2PaSb, with properties calculated at the PBE-GGA level.

The value obtained for the offset from the most stable computed form is 0.0 kJ per mole of atoms. The uncorrected formation energy comes out at -104 meV per atom.

It has space group P4/mmm (No. 123), with a = 5.129 Å, b = 5.129 Å, c = 4.945 Å, α = 90.00°, β = 90.00° and γ = 90.00°. Symmetry generates all atoms from Ac at (0.000, 0.500, 0.000), Pa at (0.000, 0.000, 0.500) and Sb at (0.500, 0.500, 0.500).

=====

Entry 9:
Below is a relaxed structure of Tl12Hg3S5, with properties calculated at the PBE-GGA level.

The uncorrected formation energy comes out at -116 meV per atom.

It has space group Ia-3d (No. 230), with a = 17.819 Å, b = 17.819 Å, c = 17.819 Å, α = 90.00°, β = 90.00° and γ = 90.00°. Symmetry generates all atoms from Tl at (0.022, 0.068, 0.653), Hg at (0.000, 0.250, 0.125), S at (0.000, 0.000, 0.000) and S at (0.000, 0.250, 0.375).

=====

Entry 10:
Below is a relaxed structure of AlHg2F2, with properties calculated at the PBE-GGA level.

The value obtained for the offset from the most stable computed form is 0.6 kJ per mole of atoms. The uncorrected formation energy comes out at -628 meV per atom.

It has space group I4/mmm (No. 139), with a = 3.903 Å, b = 3.903 Å, c = 13.871 Å, α = 90.00°, β = 90.00° and γ = 90.00°. Symmetry generates all atoms from Al at (0.000, 0.000, 0.000), Hg at (0.000, 0.500, 0.250) and F at (0.000, 0.000, 0.400).

=====

Entry 11:
Below is a relaxed structure of CsCd9Ni2, with properties calculated at the PBE-GGA level.

The energy relative to the elements is 0.00 eV per atom.

It has space group P6/mmm (No. 191), with a = 8.9690 Å, b = 8.9690 Å, c = 4.2323 Å, α = 90.00°, β = 90.00° and γ = 120.00°. Symmetry generates all atoms from Cs at (0.0000, 0.0000, 0.0000), Cd at (0.0000, 0.5000, 0.0000), Cd at (0.2139, 0.4277, 0.5000) and Ni at (0.3333, 0.6667, 0.0000).

=====

Entry 12:
Below is a relaxed structure of HfMgCr3, with properties calculated at the PBE-GGA level.

The energy relative to the elements is 1.51 eV per atom. The value obtained for the offset from the most stable computed form is 0.0 kJ per mole of atoms.

It has space group Pm-3m (No. 221), with a = 4.841 Å, b = 4.841 Å, c = 4.841 Å, α = 90.00°, β = 90.00° and γ = 90.00°. Symmetry generates all atoms from Hf at (0.000, 0.000, 0.000), Mg at (0.500, 0.500, 0.500) and Cr at (0.000, 0.000, 0.500).

=====

Entry 13:
Below is a relaxed structure of AlAs, with properties calculated at the PBE-GGA level.

The energy relative to the elements is -0.27 eV per atom.

It has space group I-43m (No. 217), with a = 7.813 Å, b = 7.813 Å, c = 7.813 Å, α = 90.00°, β = 90.00° and γ = 90.00°. Symmetry generates all atoms from Al at (0.152, 0.152, 0.152) and As at (0.168, 0.168, 0.832).

=====

Entry 14:
Below is a relaxed structure of NbCo2H8, with properties calculated at the PBE-GGA level.

The uncorrected energy is -4.607 eV per atom.

It has space group P4/mmm (No. 123), with a = 4.029 Å, b = 4.029 Å, c = 4.097 Å, α = 90.00°, β = 90.00° and γ = 90.00°. Symmetry generates all atoms from Nb at (0.000, 0.000, 0.000), Co at (0.000, 0.500, 0.500) and H at (0.280, 0.280, 0.274).

=====

Entry 15:
Below is a relaxed structure of Ho3Mg2Cd7, with properties calculated at the PBE-GGA level.

The energy relative to the elements is -0.13 eV per atom. The value obtained for the offset from the most stable computed form is 3.6 kJ per mole of atoms.

It has space group P2/m (No. 10), with a = 5.153 Å, b = 4.718 Å, c = 12.346 Å, α = 90.00°, β = 90.13° and γ = 90.00°. Symmetry generates all atoms from Ho at (0.000, 0.000, 0.000), Ho at (0.498, 0.500, 0.672), Mg at (0.003, 0.000, 0.289), Cd at (0.001, 0.500, 0.160), Cd at (0.250, 0.000, 0.501), Cd at (0.498, 0.000, 0.845) and Cd at (0.500, 0.500, 0.000).

=====

Entry 16:
Below is a relaxed structure of Ni2RuCl, with properties calculated at the PBE-GGA level.

The value obtained for the offset from the most stable computed form is 10.2 kJ per mole of atoms. The uncorrected formation energy comes out at 374 meV per atom.

It has space group Cm (No. 8), with a = 7.938 Å, b = 2.790 Å, c = 6.161 Å, α = 90.00°, β = 96.85° and γ = 90.00°. Symmetry generates all atoms from Ni at (0.000, 0.000, 0.000), Ni at (0.237, 0.500, 0.173), Ru at (0.263, 0.000, 0.846) and Cl at (0.197, 0.500, 0.522).

=====

Entry 17:
Below is a relaxed structure of LaBeV2Br, with properties calculated at the PBE-GGA level.

The value obtained for the offset from the most stable computed form is 134.4 kJ per mole of atoms. The uncorrected formation energy comes out at 1912 meV per atom.

It has space group P4/mmm (No. 123), with a = 4.959 Å, b = 4.959 Å, c = 4.988 Å, α = 90.00°, β = 90.00° and γ = 90.00°. Symmetry generates all atoms from La at (0.000, 0.000, 0.000), Be at (0.000, 0.000, 0.500), V at (0.000, 0.500, 0.000) and Br at (0.500, 0.500, 0.500).

=====

Entry 18:
Below is a relaxed structure of PaSi3Os3, with properties calculated at the PBE-GGA level.

The value obtained for the offset from the most stable computed form is 0.0 kJ per mole of atoms. The uncorrected formation energy comes out at -184 meV per atom.

It has space group R-3 (No. 148, hexagonal axes), with a = 6.9828 Å, b = 6.9828 Å, c = 17.9193 Å, α = 90.00°, β = 90.00° and γ = 120.00°. Symmetry generates all atoms from Pa at (0.0000, 0.0000, 0.1663), Si at (0.0164, 0.2775, 0.4091) and Os at (0.0217, 0.3850, 0.6086).

=====

Entry 19:
Below is a relaxed structure of KMg2Be2, with properties calculated at the PBE-GGA level.

The energy relative to the elements is 0.55 eV per atom. The value obtained for the offset from the most stable computed form is 1.1 kJ per mole of atoms.

It has space group I4/mmm (No. 139), with a = 4.764 Å, b = 4.764 Å, c = 9.757 Å, α = 90.00°, β = 90.00° and γ = 90.00°. Symmetry generates all atoms from K at (0.000, 0.000, 0.000), Mg at (0.000, 0.500, 0.250) and Be at (0.000, 0.000, 0.389).

=====

Entry 20:
Below is a relaxed structure of Ho4CuRh2, with properties calculated at the PBE-GGA level.

The energy relative to the elements is -0.54 eV per atom. The value obtained for the offset from the most stable computed form is 3.3 kJ per mole of atoms.

It has space group I4/mmm (No. 139), with a = 6.802 Å, b = 6.802 Å, c = 6.868 Å, α = 90.00°, β = 90.00° and γ = 90.00°. Symmetry generates all atoms from Ho at (0.250, 0.250, 0.250), Cu at (0.000, 0.000, 0.000) and Rh at (0.000, 0.500, 0.000).

=====

Entry 21:
Below is a relaxed structure of Cu2RuBr, with properties calculated at the PBE-GGA level.

The value obtained for the offset from the most stable computed form is 47.5 kJ per mole of atoms. The uncorrected formation energy comes out at 947 meV per atom.

It has space group Fm-3m (No. 225), with a = 6.330 Å, b = 6.330 Å, c = 6.330 Å, α = 90.00°, β = 90.00° and γ = 90.00°. Symmetry generates all atoms from Cu at (0.250, 0.250, 0.250), Ru at (0.000, 0.000, 0.000) and Br at (0.000, 0.000, 0.500).

=====

| no. | total magnetic moment (μB/cell) |
| --- | --- |
| 1 | 0.00 |
| 2 | 0.00 |
| 3 | 0.00 |
| 4 | 3.65 |
| 5 | 3.95 |
| 6 | 3.50 |
| 7 | 0.00 |
| 8 | 1.34 |
| 9 | 0.00 |
| 10 | 0.00 |
| 11 | 0.00 |
| 12 | 9.80 |
| 13 | 0.00 |
| 14 | 0.35 |
| 15 | 0.00 |
| 16 | 0.00 |
| 17 | 3.40 |
| 18 | 0.00 |
| 19 | 0.00 |
| 20 | 0.00 |
| 21 | 6.76 |